First-principles (PBE-GGA) data for an optimized crystal structure of Sc4AlCd3, as listed in Alexandria.

Unit cell a=3.472 b=3.472 c=14.234 alpha=90.00 beta=90.00 gamma=90.00
Space group P4/mmm (No. 123)
Asymmetric unit:
Sc: 0.000 0.000 0.116 (multiplicity 2)
Sc: 0.000 0.000 0.371 (multiplicity 2)
Al: 0.500 0.500 0.000 (multiplicity 1)
Cd: 0.500 0.500 0.244 (multiplicity 2)
Cd: 0.500 0.500 0.500 (multiplicity 1)

---

First-principles (PBE-GGA) data for an optimized crystal structure of Sc2AlCd, as listed in Alexandria.

Energy above the most stable polymorph in this dataset in eV/f.u.: 0.75

Unit cell a=3.2849 b=3.2849 c=28.3157 alpha=90.00 beta=90.00 gamma=120.00
Space group R-3m (No. 166, hexagonal axes)
Asymmetric unit:
Sc: 0.0000 0.0000 0.2458 (multiplicity 6)
Al: 0.0000 0.0000 0.5000 (multiplicity 3)
Cd: 0.0000 0.0000 0.0000 (multiplicity 3)

---

First-principles (PBE-GGA) data for an optimized crystal structure of Sc2AlCd, as listed in Alexandria.

Energy above the most stable polymorph in this dataset in eV/f.u.: 0.04

Unit cell a=6.933 b=6.933 c=6.933 alpha=90.00 beta=90.00 gamma=90.00
Space group Fm-3m (No. 225)
Asymmetric unit:
Sc: 0.250 0.250 0.250 (multiplicity 8)
Al: 0.000 0.000 0.000 (multiplicity 4)
Cd: 0.000 0.000 0.500 (multiplicity 4)

---

First-principles (PBE-GGA) data for an optimized crystal structure of Sc4AlCd, as listed in Alexandria.

Energy above the most stable polymorph in this dataset in eV/f.u.: 1.87

Unit cell a=4.7651 b=4.7651 c=23.6174 alpha=90.00 beta=90.00 gamma=120.00
Space group R-3m (No. 166, hexagonal axes)
Asymmetric unit:
Sc: 0.0000 0.0000 0.1221 (multiplicity 6)
Sc: 0.0000 0.0000 0.3732 (multiplicity 6)
Al: 0.0000 0.0000 0.0000 (multiplicity 3)
Cd: 0.0000 0.0000 0.5000 (multiplicity 3)

---

First-principles (PBE-GGA) data for an optimized crystal structure of Sc3AlCd, as listed in Alexandria.

Energy above the most stable polymorph in this dataset in eV/f.u.: 0.00

Unit cell a=4.840 b=18.582 c=4.842 alpha=90.00 beta=90.00 gamma=90.00
Space group Cmcm (No. 63)
Asymmetric unit:
Sc: 0.000 0.057 0.250 (multiplicity 4)
Sc: 0.000 0.250 0.250 (multiplicity 4)
Sc: 0.000 0.442 0.250 (multiplicity 4)
Al: 0.000 0.154 0.750 (multiplicity 4)
Cd: 0.000 0.346 0.750 (multiplicity 4)

---

First-principles (PBE-GGA) data for an optimized crystal structure of Sc4AlCd, as listed in Alexandria.

Energy above the most stable polymorph in this dataset in eV/f.u.: 0.00

Unit cell a=13.280 b=3.205 c=6.449 alpha=90.00 beta=104.08 gamma=90.00
Space group C2/m (No. 12)
Asymmetric unit:
Sc: 0.158 0.000 0.335 (multiplicity 4)
Sc: 0.159 0.000 0.824 (multiplicity 4)
Al: 0.000 0.500 0.500 (multiplicity 2)
Cd: 0.000 0.500 0.000 (multiplicity 2)

---

First-principles (PBE-GGA) data for an optimized crystal structure of Sc2AlCd, as listed in Alexandria.

Energy above the most stable polymorph in this dataset in eV/f.u.: 0.04

Unit cell a=3.411 b=4.942 c=4.942 alpha=90.00 beta=90.00 gamma=90.00
Space group Pmm2 (No. 25)
Asymmetric unit:
Sc: 0.000 0.000 0.000 (multiplicity 1)
Sc: 0.000 0.500 0.499 (multiplicity 1)
Al: 0.500 0.000 0.500 (multiplicity 1)
Cd: 0.500 0.500 0.999 (multiplicity 1)

---

First-principles (PBE-GGA) data for an optimized crystal structure of Sc5Al4Cd, as listed in Alexandria.

Unit cell a=3.365 b=3.365 c=17.524 alpha=90.00 beta=90.00 gamma=90.00
Space group P4/mmm (No. 123)
Asymmetric unit:
Sc: 0.000 0.000 0.000 (multiplicity 1)
Sc: 0.000 0.000 0.193 (multiplicity 2)
Sc: 0.000 0.000 0.389 (multiplicity 2)
Al: 0.500 0.500 0.097 (multiplicity 2)
Al: 0.500 0.500 0.292 (multiplicity 2)
Cd: 0.500 0.500 0.500 (multiplicity 1)

---

Number 1: total magnetization 0.00 μB per formula unit, ΔE_f -0.33 eV/atom. Number 2: total magnetization 0.00 μB per formula unit, ΔE_f -0.18 eV/atom. Number 3: total magnetization 0.00 μB per formula unit, ΔE_f -0.36 eV/atom. Number 4: total magnetization 0.01 μB per formula unit, ΔE_f 0.08 eV/atom. Number 5: total magnetization 1.02 μB per formula unit, ΔE_f -0.27 eV/atom. Number 6: total magnetization 0.96 μB per formula unit, ΔE_f -0.23 eV/atom. Number 7: total magnetization 0.00 μB per formula unit, ΔE_f -0.36 eV/atom. Number 8: total magnetization 0.00 μB per formula unit, ΔE_f -0.42 eV/atom.